[1]
Below is a geometry-optimized LiTbCeOs structure, with properties calculated at the PBE-GGA level.

Uncorrected energy ... -6.06 eV/atom
Formation energy from the elements ... -0.130 eV/atom
Total magnetization ... 0.099 μB per atom

a = 6.9930 Å, b = 6.9930 Å, c = 6.9930 Å
α = 90.00°, β = 90.00°, γ = 90.00°
Atoms (fractional coordinates):
Li1 0.0000 0.0000 0.0000
Li2 0.0000 0.5000 0.5000
Li3 0.5000 0.0000 0.5000
Li4 0.5000 0.5000 0.0000
Tb1 0.2500 0.2500 0.7500
Tb2 0.2500 0.7500 0.2500
Tb3 0.7500 0.2500 0.2500
Tb4 0.7500 0.7500 0.7500
Ce1 0.2500 0.2500 0.2500
Ce2 0.2500 0.7500 0.7500
Ce3 0.7500 0.2500 0.7500
Ce4 0.7500 0.7500 0.2500
Os1 0.0000 0.0000 0.5000
Os2 0.0000 0.5000 0.0000
Os3 0.5000 0.0000 0.0000
Os4 0.5000 0.5000 0.5000

***

[2]
Below is a geometry-optimized Zn2CrIr structure, with properties calculated at the PBE-GGA level.

Uncorrected energy ... -5.26 eV/atom
Formation energy from the elements ... 0.002 eV/atom
Energy above the most stable polymorph in this dataset ... 95 meV/atom
Total magnetization ... 0.257 μB per atom

a = 6.0178 Å, b = 6.0178 Å, c = 6.0178 Å
α = 90.00°, β = 90.00°, γ = 90.00°
Atoms (fractional coordinates):
Zn1 0.0000 0.0000 0.0000
Zn2 0.0000 0.5000 0.5000
Zn3 0.2500 0.2500 0.2500
Zn4 0.2500 0.7500 0.7500
Zn5 0.5000 0.0000 0.5000
Zn6 0.5000 0.5000 0.0000
Zn7 0.7500 0.2500 0.7500
Zn8 0.7500 0.7500 0.2500
Cr1 0.0000 0.0000 0.5000
Cr2 0.0000 0.5000 0.0000
Cr3 0.5000 0.0000 0.0000
Cr4 0.5000 0.5000 0.5000
Ir1 0.2500 0.2500 0.7500
Ir2 0.2500 0.7500 0.2500
Ir3 0.7500 0.2500 0.2500
Ir4 0.7500 0.7500 0.7500

***

[3]
Below is a geometry-optimized BaHg2HPd2 structure, with properties calculated at the PBE-GGA level.

Uncorrected energy ... -3.08 eV/atom
Total magnetization ... 0.000 μB per atom

a = 4.6025 Å, b = 4.6025 Å, c = 12.9965 Å
α = 90.00°, β = 90.00°, γ = 90.00°
Atoms (fractional coordinates):
Ba1 0.0000 0.0000 0.0000
Ba2 0.5000 0.5000 0.5000
Hg1 0.0000 0.5000 0.2500
Hg2 0.0000 0.5000 0.7500
Hg3 0.5000 0.0000 0.2500
Hg4 0.5000 0.0000 0.7500
H1 0.0000 0.0000 0.5000
H2 0.5000 0.5000 0.0000
Pd1 0.0000 0.0000 0.3717
Pd2 0.0000 0.0000 0.6283
Pd3 0.5000 0.5000 0.1283
Pd4 0.5000 0.5000 0.8717